[1]
## YTcPCN (PBE)

Data for a relaxed YTcPCN crystal.

```
YTcPCN
1.0
6.761 0.000 0.006
0.000 3.760 0.000
-3.510 0.000 6.061
Y P C Tc N
2 2 2 2 2
direct
0.097 0.000 0.652
0.097 0.500 0.152
0.544 0.000 0.370
0.544 0.500 0.870
0.349 0.000 0.085
0.349 0.500 0.585
0.647 0.000 0.087
0.647 0.500 0.587
0.972 0.000 0.264
0.972 0.500 0.764
```

## Properties
Symmetry ... No. 8
Total moment ... 0.0 μB per formula unit
Raw formation energy ... -0.284 eV per atom
Offset from the most stable computed form ... 0.2240 eV per atom

***

[2]
## YTcPCN (PBE)

Data for a relaxed YTcPCN crystal.

```
YTcPCN
1.0
-2.956 -4.035 5.215
-0.507 -2.307 -2.073
7.309 -0.433 -1.307
Y P C Tc N
2 2 2 2 2
direct
0.012 0.000 0.945
0.012 0.500 0.445
0.391 0.000 0.492
0.391 0.500 0.992
0.624 0.000 0.735
0.624 0.500 0.235
0.678 0.000 0.055
0.678 0.500 0.555
0.904 0.000 0.596
0.904 0.500 0.096
```

## Properties
Symmetry ... No. 8
Total moment ... 0.0 μB per formula unit
Raw formation energy ... -0.192 eV per atom
Offset from the most stable computed form ... 0.3160 eV per atom

***

[3]
## YTcPCN (PBE)

Data for a relaxed YTcPCN crystal.

```
YTcPCN
1.0
-5.040 -2.444 -1.079
0.358 -1.937 2.716
-2.647 5.960 4.600
Y P C Tc N
2 2 2 2 2
direct
0.959 0.000 0.460
0.959 0.500 0.960
0.449 0.000 0.866
0.449 0.500 0.366
0.755 0.000 0.714
0.755 0.500 0.214
0.563 0.000 0.167
0.563 0.500 0.667
0.229 0.000 0.988
0.229 0.500 0.488
```

## Properties
Symmetry ... No. 8
Total moment ... 0.0 μB per formula unit
Raw formation energy ... -0.270 eV per atom
Offset from the most stable computed form ... 0.2375 eV per atom

***

[4]
## YTcPCN (PBE)

Data for a relaxed YTcPCN crystal.

```
YTcPCN
1.0
3.098 -0.001 0.008
0.002 3.314 0.003
1.528 1.100 6.719
Y P C Tc N
1 1 1 1 1
direct
0.263 0.456 0.965
0.433 0.062 0.628
0.618 0.761 0.257
0.011 0.626 0.471
0.711 0.932 0.070
```

## Properties
Symmetry ... No. 8
Total moment ... 0.0 μB per formula unit
Raw formation energy ... -0.470 eV per atom
Offset from the most stable computed form ... 0.0375 eV per atom

***

[5]
## YTcPCN (PBE)

Data for a relaxed YTcPCN crystal.

```
YTcPCN
1.0
-2.244 -4.862 4.154
3.023 -1.611 -0.253
2.493 3.958 4.583
Y P C Tc N
2 2 2 2 2
direct
0.059 0.000 0.707
0.059 0.500 0.207
0.380 0.000 0.414
0.380 0.500 0.914
0.591 0.000 0.272
0.591 0.500 0.772
0.643 0.000 0.968
0.643 0.500 0.468
0.937 0.000 0.008
0.937 0.500 0.508
```

## Properties
Symmetry ... No. 8
Total moment ... 0.0 μB per formula unit
Raw formation energy ... -0.267 eV per atom
Offset from the most stable computed form ... 0.2407 eV per atom

***

[6]
## Th6P2C3N (PBE)

Data for a relaxed Th6P2C3N crystal.

```
Th6P2C3N
1.0
-1.651 2.371 2.577
1.056 -5.380 5.627
7.971 3.493 -1.016
Th P C N
6 2 3 1
direct
0.335 0.937 0.671
0.658 0.600 0.315
0.665 0.063 0.329
0.995 0.244 0.991
0.005 0.756 0.009
0.342 0.400 0.685
0.832 0.666 0.664
0.168 0.334 0.336
0.500 0.500 0.000
0.840 0.163 0.679
0.160 0.837 0.321
0.500 0.000 0.000
```

## Properties
Symmetry ... No. 12
Total moment ... 0.0 μB per formula unit
Raw formation energy ... -0.865 eV per atom